# 1
Below is a relaxed structure of TlZnOs2, with properties calculated at the PBE level.

abc: 2.904 2.862 8.528
angles: 90.00 99.75 90.00
Space group Pm (No. 6)
Unique sites:
Tl1 0.000 0.000 0.000
Zn1 0.840 0.500 0.684
Os1 0.233 0.000 0.467
Os2 0.638 0.500 0.276

Electronic total energy ... -6.17 eV/atom
Magnetization ... 0.00 μB per atom
ρ ... 15.5 Mg/m³
ΔE_f ... 355 meV per atom
Excess energy over the best structure of this formula in the dataset ... 0 meV/atom

***

# 2
Below is a relaxed structure of Er2Ga6CoNi, with properties calculated at the PBE level.

abc: 9.079 9.079 9.079
angles: 90.00 90.00 90.00
Space group Fm-3m (No. 225)
Unique sites:
Er1 0.250 0.250 0.250
Ga1 0.000 0.000 0.250
Co1 0.000 0.000 0.000
Ni1 0.000 0.000 0.500

Electronic total energy ... -4.31 eV/atom
Magnetization ... 0.00 μB per atom
ρ ... 7.7 Mg/m³
ΔE_f ... -295 meV per atom

***

# 3
Below is a relaxed structure of Ba2Tb3Te6, with properties calculated at the PBE level.

abc: 7.773 13.466 8.440
angles: 90.00 107.96 90.00
Space group C2/m (No. 12)
Unique sites:
Ba1 0.000 0.166 0.000
Tb1 0.000 0.000 0.500
Tb2 0.000 0.332 0.500
Te1 0.235 0.500 0.717
Te2 0.242 0.164 0.718

Electronic total energy ... -4.87 eV/atom
Magnetization ... 0.00 μB per atom
ρ ... 6.0 Mg/m³
Uncorrected formation energy ... -1.542 eV per atom